The following is a PBE calculation of Li2HoSe2 after structural relaxation, from the Alexandria database.

Values from the calculation:
The total energy comes out at -4.39 eV/atom. Its calculated volume is 110.5 Å³ per cell. As for the uncorrected formation energy: -1314.4 meV/atom. For the spin magnetization, the calculation gives 0.00 μB/f.u.

extended XYZ file:
```
5
Lattice="-1.032 -3.851 0.648 2.700 -2.584 1.531 -1.783 -0.301 7.961" Properties=species:S:1:pos:R:3 pbc="T T T"
Ho 0.000 0.000 0.000
Li -0.218 -1.535 3.121
Li 0.103 -5.201 7.019
Se -0.704 -2.858 7.070
Se 0.589 -3.878 3.069
```


The following is a PBE calculation of Dy6Y5 after structural relaxation, from the Alexandria database.

Values from the calculation:
The value obtained for the energy above the lowest structure with this stoichiometry is 27.2 meV/atom. The total energy comes out at -5.31 eV/atom. Its calculated volume is 357.9 Å³ per cell. For the spin magnetization, the calculation gives 0.00 μB/f.u. The calculation puts the calculated formation energy at 1.57 eV/f.u.

extended XYZ file:
```
11
Lattice="-8.510 1.782 -2.532 -6.476 -1.912 4.226 -1.519 5.695 2.292" Properties=species:S:1:pos:R:3 pbc="T T T"
Y -5.015 3.739 -0.120
Y -10.158 -0.297 1.542
Y -4.829 0.167 0.153
Y -6.169 2.282 2.735
Y -10.336 3.284 1.252
Dy -8.150 5.393 -0.543
Dy -1.880 2.085 0.304
Dy -7.832 1.695 -0.251
Dy -13.143 1.253 1.095
Dy -3.362 4.312 2.892
Dy -8.674 3.870 4.238
```


The following is a PBE calculation of TbNd14Pu after structural relaxation, from the Alexandria database.

Values from the calculation:
The total energy comes out at -5.30 eV/atom. Its calculated volume is 559.3 Å³ per cell. For the spin magnetization, the calculation gives 6.68 μB/f.u. The calculation puts the calculated formation energy at 0.97 eV/f.u.

extended XYZ file:
```
16
Lattice="7.325 -0.939 0.000 -2.837 6.819 0.000 0.000 0.000 11.827" Properties=species:S:1:pos:R:3 pbc="T T T"
Tb 0.559 4.226 0.000
Nd -1.146 5.528 8.876
Nd 4.230 3.747 0.000
Nd 1.969 0.824 5.914
Nd 3.947 1.640 2.917
Nd -1.146 5.528 2.952
Nd 0.247 2.110 8.942
Nd 3.947 1.640 8.910
Nd 2.519 5.085 2.885
Nd 4.213 3.763 5.914
Nd 5.631 0.354 5.914
Nd 0.247 2.110 2.885
Nd 0.556 4.229 5.914
Nd 2.519 5.085 8.942
Nd 1.989 0.812 0.000
Pu 5.629 0.356 0.000
```


The following is a PBE calculation of Tl2RuSe after structural relaxation, from the Alexandria database.

Values from the calculation:
The value obtained for the energy above the lowest structure with this stoichiometry is 550.4 meV/atom. The total energy comes out at -3.75 eV/atom. Its calculated volume is 86.0 Å³ per cell. As for the uncorrected formation energy: 624.5 meV/atom. For the spin magnetization, the calculation gives 0.00 μB/f.u.

extended XYZ file:
```
4
Lattice="-4.293 -3.201 1.041 1.558 -5.181 0.701 1.718 4.706 2.159" Properties=species:S:1:pos:R:3 pbc="T T T"
Se -1.971 -1.343 2.035
Tl 0.000 0.000 0.000
Tl -1.368 -4.191 0.871
Ru 0.954 -2.333 1.865
```


The following is a PBE calculation of ZrMnTe2 after structural relaxation, from the Alexandria database.

Values from the calculation:
The value obtained for the energy above the lowest structure with this stoichiometry is 249.2 meV/atom. The total energy comes out at -6.24 eV/atom. Its calculated volume is 113.7 Å³ per cell. As for the uncorrected formation energy: -235.5 meV/atom. For the spin magnetization, the calculation gives 2.93 μB/f.u.

extended XYZ file:
```
4
Lattice="-5.106 -4.505 -3.769 -1.400 -5.148 -5.667 -2.297 -7.144 -2.066" Properties=species:S:1:pos:R:3 pbc="T T T"
Te -0.400 -0.763 -0.522
Te -1.979 -3.776 -2.586
Zr -4.261 -8.129 -5.567
Mn -6.565 -12.526 -8.578
```


The following is a PBE calculation of Gd2ZnBr after structural relaxation, from the Alexandria database.

Values from the calculation:
The value obtained for the energy above the lowest structure with this stoichiometry is 0.0 meV/atom. The total energy comes out at -8.44 eV/atom. Its calculated volume is 106.5 Å³ per cell. As for the uncorrected formation energy: -667.1 meV/atom. For the spin magnetization, the calculation gives 14.38 μB/f.u.

extended XYZ file:
```
4
Lattice="-3.357 0.297 -2.306 -3.617 -1.156 1.502 -3.458 6.548 2.262" Properties=species:S:1:pos:R:3 pbc="T T T"
Zn 0.000 0.000 0.000
Br -5.216 2.845 0.729
Gd -7.845 4.391 1.140
Gd -2.587 1.298 0.318
```


Q: calculated volume of number 5 (ZrMnTe2)?
A: 113.7 Å³ per cell


What did the fourth record say?
The following is a PBE calculation of Tl2RuSe after structural relaxation, from the Alexandria database.

Values from the calculation:
The value obtained for the energy above the lowest structure with this stoichiometry is 550.4 meV/atom. The total energy comes out at -3.75 eV/atom. Its calculated volume is 86.0 Å³ per cell. As for the uncorrected formation energy: 624.5 meV/atom. For the spin magnetization, the calculation gives 0.00 μB/f.u.

extended XYZ file:
```
4
Lattice="-4.293 -3.201 1.041 1.558 -5.181 0.701 1.718 4.706 2.159" Properties=species:S:1:pos:R:3 pbc="T T T"
Se -1.971 -1.343 2.035
Tl 0.000 0.000 0.000
Tl -1.368 -4.191 0.871
Ru 0.954 -2.333 1.865
```